Compound: LaTc2Pb
Source: Alexandria via LeMat-Bulk
Functional: PBEsol
Structure: optimized geometry

Output
Its magnetization is 0.000 μB per formula unit. The volume is 80.3 Å³ per cell. The calculation puts the energy of formation from the pure elements at 12.481 kcal/mol of atoms.

```
4
Lattice="3.0744 0.0000 0.0000 0.0000 4.5298 0.0000 -0.0275 0.0000 5.7658" Properties=species:S:1:pos:R:3 pbc="T T T"
La 0.0000 0.0000 0.0000
Tc 0.8012 2.2649 1.1589
Tc 2.2458 2.2649 4.6069
Pb 1.5235 0.0000 2.8829
```